No. 1
# RbUAg2Se4 (PBE, relaxed)
# Spin magnetization, μB per formula unit: 0.99
# ΔE_f (raw), eV/atom: -0.5792
# Fermi-level density of states, states/eV/f.u.: 7.26
data_RbUAg2Se4
_symmetry_space_group_name_H-M 'P 1'
_symmetry_Int_Tables_number 1
_symmetry_space_group_name_Hall 'P 1'
_cell_length_a 6.886
_cell_length_b 6.902
_cell_length_c 6.902
_cell_angle_alpha 70.59
_cell_angle_beta 60.08
_cell_angle_gamma 60.08
loop_
_atom_site_label
_atom_site_type_symbol
_atom_site_fract_x
_atom_site_fract_y
_atom_site_fract_z
_atom_site_occupancy
Rb1 Rb 0.000 0.000 0.000 1
U1 U 0.500 0.500 0.500 1
Ag1 Ag 0.163 0.337 0.337 1
Ag2 Ag 0.837 0.663 0.663 1
Se1 Se 0.466 0.122 0.526 1
Se2 Se 0.114 0.878 0.474 1
Se3 Se 0.886 0.526 0.122 1
Se4 Se 0.534 0.474 0.878 1



No. 2
# RbUAgSe3 (PBE, relaxed)
# Spin magnetization, μB per formula unit: 2.00
# ΔE_f (raw), eV/atom: -1.0236
# Fermi-level density of states, states/eV/f.u.: 4.52
data_RbUAgSe3
_symmetry_space_group_name_H-M 'P 1'
_symmetry_Int_Tables_number 1
_symmetry_space_group_name_Hall 'P 1'
_cell_length_a 7.976
_cell_length_b 7.976
_cell_length_c 10.893
_cell_angle_alpha 90.00
_cell_angle_beta 90.00
_cell_angle_gamma 148.98
loop_
_atom_site_label
_atom_site_type_symbol
_atom_site_fract_x
_atom_site_fract_y
_atom_site_fract_z
_atom_site_occupancy
Rb1 Rb 0.746 0.254 0.750 1
Rb2 Rb 0.254 0.746 0.250 1
U1 U 0.000 0.000 0.500 1
U2 U 0.000 0.000 0.000 1
Ag1 Ag 0.542 0.458 0.250 1
Ag2 Ag 0.458 0.542 0.750 1
Se1 Se 0.622 0.378 0.461 1
Se2 Se 0.378 0.622 0.539 1
Se3 Se 0.378 0.622 0.961 1
Se4 Se 0.937 0.063 0.250 1
Se5 Se 0.063 0.937 0.750 1
Se6 Se 0.622 0.378 0.039 1



No. 3
# RbU4Ag3Se12 (PBE, relaxed)
# Spin magnetization, μB per formula unit: 4.00
# ΔE_f (raw), eV/atom: -0.7818
# Fermi-level density of states, states/eV/f.u.: 11.91
data_RbU4Ag3Se12
_symmetry_space_group_name_H-M 'P 1'
_symmetry_Int_Tables_number 1
_symmetry_space_group_name_Hall 'P 1'
_cell_length_a 9.004
_cell_length_b 9.004
_cell_length_c 9.004
_cell_angle_alpha 109.47
_cell_angle_beta 109.47
_cell_angle_gamma 109.47
loop_
_atom_site_label
_atom_site_type_symbol
_atom_site_fract_x
_atom_site_fract_y
_atom_site_fract_z
_atom_site_occupancy
Rb1 Rb 0.000 0.000 0.000 1
U1 U 0.500 0.000 0.000 1
U2 U 0.500 0.500 0.500 1
U3 U 0.000 0.500 0.000 1
U4 U 0.000 0.000 0.500 1
Ag1 Ag 0.000 0.500 0.500 1
Ag2 Ag 0.500 0.500 0.000 1
Ag3 Ag 0.500 0.000 0.500 1
Se1 Se 0.307 0.820 0.127 1
Se2 Se 0.693 0.180 0.873 1
Se3 Se 0.693 0.820 0.513 1
Se4 Se 0.873 0.693 0.180 1
Se5 Se 0.820 0.127 0.307 1
Se6 Se 0.180 0.487 0.307 1
Se7 Se 0.487 0.307 0.180 1
Se8 Se 0.180 0.873 0.693 1
Se9 Se 0.307 0.180 0.487 1
Se10 Se 0.127 0.307 0.820 1
Se11 Se 0.820 0.513 0.693 1
Se12 Se 0.513 0.693 0.820 1



No. 4
# Rb2UAgSe6 (PBE, relaxed)
# Spin magnetization, μB per formula unit: 0.00
# ΔE_f (raw), eV/atom: -0.6837
# Fermi-level density of states, states/eV/f.u.: 2.31
data_Rb2UAgSe6
_symmetry_space_group_name_H-M 'P 1'
_symmetry_Int_Tables_number 1
_symmetry_space_group_name_Hall 'P 1'
_cell_length_a 6.534
_cell_length_b 6.728
_cell_length_c 8.396
_cell_angle_alpha 113.62
_cell_angle_beta 98.61
_cell_angle_gamma 90.00
loop_
_atom_site_label
_atom_site_type_symbol
_atom_site_fract_x
_atom_site_fract_y
_atom_site_fract_z
_atom_site_occupancy
Rb1 Rb 0.230 0.217 0.435 1
Rb2 Rb 0.770 0.783 0.565 1
U1 U 0.000 0.500 0.000 1
Ag1 Ag 0.500 0.000 0.000 1
Se1 Se 0.248 0.651 0.302 1
Se2 Se 0.220 0.147 0.840 1
Se3 Se 0.780 0.307 0.160 1
Se4 Se 0.220 0.693 0.840 1
Se5 Se 0.780 0.853 0.160 1
Se6 Se 0.752 0.349 0.698 1



No. 5
# Rb4U3AgSe12 (PBE, relaxed)
# Spin magnetization, μB per formula unit: 0.00
# ΔE_f (raw), eV/atom: -0.9805
# Fermi-level density of states, states/eV/f.u.: 11.14
data_Rb4U3AgSe12
_symmetry_space_group_name_H-M 'P 1'
_symmetry_Int_Tables_number 1
_symmetry_space_group_name_Hall 'P 1'
_cell_length_a 9.420
_cell_length_b 9.420
_cell_length_c 9.420
_cell_angle_alpha 109.47
_cell_angle_beta 109.47
_cell_angle_gamma 109.47
loop_
_atom_site_label
_atom_site_type_symbol
_atom_site_fract_x
_atom_site_fract_y
_atom_site_fract_z
_atom_site_occupancy
Rb1 Rb 0.500 0.500 0.500 1
Rb2 Rb 0.000 0.000 0.500 1
Rb3 Rb 0.500 0.000 0.000 1
Rb4 Rb 0.000 0.500 0.000 1
U1 U 0.500 0.000 0.500 1
U2 U 0.500 0.500 0.000 1
U3 U 0.000 0.500 0.500 1
Ag1 Ag 0.000 0.000 0.000 1
Se1 Se 0.250 0.500 0.750 1
Se2 Se 0.739 0.000 0.739 1
Se3 Se 0.261 0.000 0.261 1
Se4 Se 0.750 0.500 0.250 1
Se5 Se 0.739 0.739 0.000 1
Se6 Se 0.261 0.261 0.000 1
Se7 Se 0.750 0.250 0.500 1
Se8 Se 0.250 0.750 0.500 1
Se9 Se 0.500 0.250 0.750 1
Se10 Se 0.000 0.739 0.739 1
Se11 Se 0.500 0.750 0.250 1
Se12 Se 0.000 0.261 0.261 1



No. 6
# Rb3U2AgSe6 (PBE, relaxed)
# Spin magnetization, μB per formula unit: 4.00
# ΔE_f (raw), eV/atom: -1.0898
# Fermi-level density of states, states/eV/f.u.: 10.36
data_Rb3U2AgSe6
_symmetry_space_group_name_H-M 'P 1'
_symmetry_Int_Tables_number 1
_symmetry_space_group_name_Hall 'P 1'
_cell_length_a 7.375
_cell_length_b 7.375
_cell_length_c 8.330
_cell_angle_alpha 98.37
_cell_angle_beta 98.37
_cell_angle_gamma 120.09
loop_
_atom_site_label
_atom_site_type_symbol
_atom_site_fract_x
_atom_site_fract_y
_atom_site_fract_z
_atom_site_occupancy
Rb1 Rb 0.158 0.842 0.500 1
Rb2 Rb 0.842 0.158 0.500 1
Rb3 Rb 0.500 0.500 0.500 1
U1 U 0.333 0.667 0.000 1
U2 U 0.667 0.333 0.000 1
Ag1 Ag 0.000 0.000 0.000 1
Se1 Se 0.935 0.582 0.803 1
Se2 Se 0.715 0.715 0.193 1
Se3 Se 0.065 0.418 0.197 1
Se4 Se 0.582 0.935 0.803 1
Se5 Se 0.285 0.285 0.807 1
Se6 Se 0.418 0.065 0.197 1